1.
## VHgCl4 (GGA-PBE)

Data for a geometry-optimized VHgCl4 structure.

Lattice parameters (Å, degrees): 7.442 9.941 12.490 90.00 90.00 90.00
Atoms (fractional coordinates):
V 0.750 0.200 0.427
V 0.750 0.300 0.927
V 0.250 0.800 0.573
V 0.250 0.700 0.073
Cl 0.750 0.059 0.296
Cl 0.485 0.676 0.584
Cl 0.250 0.906 0.423
Cl 0.750 0.441 0.796
Cl 0.750 0.406 0.077
Cl 0.250 0.559 0.204
Cl 0.985 0.176 0.916
Cl 0.985 0.324 0.416
Cl 0.750 0.094 0.577
Cl 0.515 0.176 0.916
Cl 0.515 0.324 0.416
Cl 0.250 0.941 0.704
Cl 0.015 0.676 0.584
Cl 0.250 0.594 0.923
Cl 0.485 0.824 0.084
Cl 0.015 0.824 0.084
Hg 0.750 0.831 0.820
Hg 0.250 0.169 0.180
Hg 0.250 0.331 0.680
Hg 0.750 0.669 0.320

## Properties
electronic total energy: -22.43 eV per formula unit
energy relative to the elements, uncorrected: -5.62 eV per formula unit
size of the total moment: 0.17 μB per atom
density of states at the Fermi level: 26.02 states/eV/cell

2.
## VHgCl2 (GGA-PBE)

Data for a geometry-optimized VHgCl2 structure.

Lattice parameters (Å, degrees): 7.712 7.712 6.986 56.50 56.50 90.00
Atoms (fractional coordinates):
V 0.250 0.750 0.500
V 0.500 0.500 0.000
Cl 0.875 0.727 0.750
Cl 0.375 0.523 0.750
Cl 0.273 0.625 0.250
Cl 0.477 0.125 0.250
Hg 0.000 0.000 0.000
Hg 0.750 0.250 0.500

## Properties
relative energy among the computed polymorphs: 240 meV per atom
electronic total energy: -15.47 eV per formula unit
energy relative to the elements, uncorrected: -2.35 eV per formula unit
size of the total moment: 0.75 μB per atom
density of states at the Fermi level: 3.38 states/eV/cell

3.
## V3Hg2Cl8 (GGA-PBE)

Data for a geometry-optimized V3Hg2Cl8 structure.

Lattice parameters (Å, degrees): 6.153 7.161 10.383 110.17 100.64 90.00
Atoms (fractional coordinates):
Cl 0.879 0.072 0.144
Cl 0.912 0.573 0.146
Cl 0.367 0.833 0.136
Cl 0.633 0.167 0.864
Cl 0.367 0.303 0.136
Cl 0.121 0.928 0.856
Cl 0.633 0.697 0.864
Cl 0.088 0.427 0.854
Hg 0.574 0.748 0.496
Hg 0.426 0.252 0.504
V 0.000 0.258 0.000
V 0.000 0.742 0.000
V 0.500 0.000 0.000

## Properties
electronic total energy: -55.98 eV per formula unit
energy relative to the elements, uncorrected: -13.25 eV per formula unit
size of the total moment: 0.54 μB per atom
density of states at the Fermi level: 11.52 states/eV/cell

4.
## V3HgCl (GGA-PBE)

Data for a geometry-optimized V3HgCl structure.

Lattice parameters (Å, degrees): 5.139 5.139 5.139 90.00 90.00 90.00
Atoms (fractional coordinates):
V 0.000 0.000 0.500
V 0.500 0.000 0.000
V 0.000 0.500 0.000
Cl 0.500 0.500 0.500
Hg 0.000 0.000 0.000

## Properties
relative energy among the computed polymorphs: 1012 meV per atom
electronic total energy: -21.92 eV per formula unit
energy relative to the elements, uncorrected: 7.58 eV per formula unit
size of the total moment: 1.85 μB per atom
density of states at the Fermi level: 18.78 states/eV/cell